[1]
The following is a GGA-PBE calculation of crystalline ZrCoOs2 at its relaxed geometry, from OQMD via LeMat-Bulk.

Structure (CIF):
```
data_ZrCoOs2
_chemical_formula_sum 'Zr4 Co4 Os8'
_cell_length_a 6.257
_cell_length_b 6.257
_cell_length_c 6.257
_cell_angle_alpha 90.00
_cell_angle_beta 90.00
_cell_angle_gamma 90.00
_space_group_name_H-M_alt 'F -4 3 m'
_space_group_IT_number 216
_space_group_name_Hall 'F -4 2 3'
loop_
_atom_site_label
_atom_site_type_symbol
_atom_site_fract_x
_atom_site_fract_y
_atom_site_fract_z
Zr1 Zr 0.000 0.000 0.000
Co1 Co 0.250 0.250 0.250
Os1 Os 0.000 0.000 0.500
Os2 Os 0.250 0.250 0.750
```

## Properties
Formation enthalpy at 0 K = 0.195 eV per atom
Crystal system = cubic

[2]
The following is a GGA-PBE calculation of crystalline Ac3Sn2Hg4 at its relaxed geometry, from OQMD via LeMat-Bulk.

Structure (CIF):
```
data_Ac3Sn2Hg4
_chemical_formula_sum 'Ac6 Sn4 Hg8'
_cell_length_a 12.456
_cell_length_b 4.853
_cell_length_c 9.771
_cell_angle_alpha 90.00
_cell_angle_beta 109.06
_cell_angle_gamma 90.00
_space_group_name_H-M_alt 'C 1 2/m 1'
_space_group_IT_number 12
_space_group_name_Hall '-C 2y'
loop_
_atom_site_label
_atom_site_type_symbol
_atom_site_fract_x
_atom_site_fract_y
_atom_site_fract_z
Ac1 Ac 0.000 0.000 0.000
Ac2 Ac 0.174 0.500 0.647
Sn1 Sn 0.114 0.500 0.275
Hg1 Hg 0.011 0.000 0.352
Hg2 Hg 0.239 0.000 0.913
```

## Properties
Crystal system = monoclinic
VASP energy = -2.954 eV/atom

[3]
The following is a GGA-PBE calculation of crystalline DySiH2O4 at its relaxed geometry, from OQMD via LeMat-Bulk.

Structure (CIF):
```
data_DySiH2O4
_chemical_formula_sum 'Dy2 Si2 H4 O8'
_cell_length_a 4.769
_cell_length_b 6.574
_cell_length_c 5.673
_cell_angle_alpha 90.00
_cell_angle_beta 106.29
_cell_angle_gamma 90.00
_space_group_name_H-M_alt 'P 1 21/m 1'
_space_group_IT_number 11
_space_group_name_Hall '-P 2yb'
loop_
_atom_site_label
_atom_site_type_symbol
_atom_site_fract_x
_atom_site_fract_y
_atom_site_fract_z
Dy1 Dy 0.004 0.250 0.155
Si1 Si 0.282 0.250 0.713
H1 H 0.343 0.750 0.493
H2 H 0.500 0.000 0.000
O1 O 0.055 0.750 0.476
O2 O 0.248 0.050 0.906
O3 O 0.423 0.250 0.467
```

## Properties
Crystal system = monoclinic
VASP energy = -6.575 eV/atom

[4]
The following is a GGA-PBE calculation of crystalline NaTmNb at its relaxed geometry, from OQMD via LeMat-Bulk.

Structure (CIF):
```
data_NaTmNb
_chemical_formula_sum 'Na4 Tm4 Nb4'
_cell_length_a 7.195
_cell_length_b 7.195
_cell_length_c 7.195
_cell_angle_alpha 90.00
_cell_angle_beta 90.00
_cell_angle_gamma 90.00
_space_group_name_H-M_alt 'F -4 3 m'
_space_group_IT_number 216
_space_group_name_Hall 'F -4 2 3'
loop_
_atom_site_label
_atom_site_type_symbol
_atom_site_fract_x
_atom_site_fract_y
_atom_site_fract_z
Na1 Na 0.000 0.000 0.000
Tm1 Tm 0.000 0.000 0.500
Nb1 Nb 0.250 0.250 0.250
```

## Properties
Crystal system = cubic
VASP energy = -3.898 eV/atom

[5]
The following is a GGA-PBE calculation of crystalline SmHoZn2Ge2 at its relaxed geometry, from OQMD via LeMat-Bulk.

Structure (CIF):
```
data_SmHoZn2Ge2
_chemical_formula_sum 'Sm2 Ho2 Zn4 Ge4'
_cell_length_a 4.2516
_cell_length_b 4.2516
_cell_length_c 15.8602
_cell_angle_alpha 90.00
_cell_angle_beta 90.00
_cell_angle_gamma 120.00
_space_group_name_H-M_alt 'P 63/m m c'
_space_group_IT_number 194
_space_group_name_Hall '-P 6c 2c'
loop_
_atom_site_label
_atom_site_type_symbol
_atom_site_fract_x
_atom_site_fract_y
_atom_site_fract_z
Sm1 Sm 0.0000 0.0000 0.0000
Ho1 Ho 0.0000 0.0000 0.2500
Zn1 Zn 0.3333 0.6667 0.1495
Ge1 Ge 0.3333 0.6667 0.6168
```

## Properties
Crystal system = hexagonal
VASP energy = -4.193 eV/atom

[6]
The following is a GGA-PBE calculation of crystalline Tm3Al4Au4 at its relaxed geometry, from OQMD via LeMat-Bulk.

Structure (CIF):
```
data_Tm3Al4Au4
_chemical_formula_sum 'Tm6 Al8 Au8'
_cell_length_a 4.216
_cell_length_b 7.198
_cell_length_c 14.426
_cell_angle_alpha 90.00
_cell_angle_beta 90.00
_cell_angle_gamma 90.00
_space_group_name_H-M_alt 'I m m m'
_space_group_IT_number 71
_space_group_name_Hall '-I 2 2'
loop_
_atom_site_label
_atom_site_type_symbol
_atom_site_fract_x
_atom_site_fract_y
_atom_site_fract_z
Tm1 Tm 0.000 0.000 0.000
Tm2 Tm 0.000 0.500 0.120
Al1 Al 0.000 0.306 0.326
Au1 Au 0.000 0.000 0.220
Au2 Au 0.000 0.204 0.500
```

## Properties
Crystal system = orthorhombic
VASP energy = -4.527 eV/atom

[7]
The following is a GGA-PBE calculation of crystalline KPuCuTe3 at its relaxed geometry, from OQMD via LeMat-Bulk.

Structure (CIF):
```
data_KPuCuTe3
_chemical_formula_sum 'K4 Pu4 Cu4 Te12'
_cell_length_a 4.373
_cell_length_b 15.653
_cell_length_c 11.376
_cell_angle_alpha 90.00
_cell_angle_beta 90.00
_cell_angle_gamma 90.00
_space_group_name_H-M_alt 'C m c m'
_space_group_IT_number 63
_space_group_name_Hall '-C 2c 2'
loop_
_atom_site_label
_atom_site_type_symbol
_atom_site_fract_x
_atom_site_fract_y
_atom_site_fract_z
K1 K 0.000 0.249 0.250
Pu1 Pu 0.000 0.500 0.000
Cu1 Cu 0.000 0.031 0.750
Te1 Te 0.000 0.129 0.563
Te2 Te 0.000 0.432 0.750
```

## Properties
Crystal system = orthorhombic
VASP energy = -5.552 eV/atom

[8]
The following is a GGA-PBE calculation of crystalline InAgGeTeSe2 at its relaxed geometry, from OQMD via LeMat-Bulk.

Structure (CIF):
```
data_InAgGeTeSe2
_chemical_formula_sum 'In4 Ag4 Ge4 Te4 Se8'
_cell_length_a 4.077
_cell_length_b 13.063
_cell_length_c 11.221
_cell_angle_alpha 90.00
_cell_angle_beta 90.00
_cell_angle_gamma 90.00
_space_group_name_H-M_alt 'C m c m'
_space_group_IT_number 63
_space_group_name_Hall '-C 2c 2'
loop_
_atom_site_label
_atom_site_type_symbol
_atom_site_fract_x
_atom_site_fract_y
_atom_site_fract_z
In1 In 0.000 0.216 0.250
Ag1 Ag 0.000 0.124 0.750
Ge1 Ge 0.000 0.500 0.000
Te1 Te 0.000 0.455 0.750
Se1 Se 0.000 0.140 0.522
```

## Properties
Crystal system = orthorhombic
VASP energy = -3.487 eV/atom

[9]
The following is a GGA-PBE calculation of crystalline SrNdAs2 at its relaxed geometry, from OQMD via LeMat-Bulk.

Structure (CIF):
```
data_SrNdAs2
_chemical_formula_sum 'Sr3 Nd3 As6'
_cell_length_a 7.7983
_cell_length_b 7.7983
_cell_length_c 6.6986
_cell_angle_alpha 90.00
_cell_angle_beta 90.00
_cell_angle_gamma 120.00
_space_group_name_H-M_alt 'P -6 2 m'
_space_group_IT_number 189
_space_group_name_Hall 'P -6 -2'
loop_
_atom_site_label
_atom_site_type_symbol
_atom_site_fract_x
_atom_site_fract_y
_atom_site_fract_z
Sr1 Sr 0.0000 0.6658 0.0000
Nd1 Nd 0.0000 0.3330 0.5000
As1 As 0.0000 0.0000 0.2647
As2 As 0.3333 0.6667 0.2666
```

## Properties
Crystal system = hexagonal
VASP energy = -5.151 eV/atom

[10]
The following is a GGA-PBE calculation of crystalline ZnTePb at its relaxed geometry, from OQMD via LeMat-Bulk.

Structure (CIF):
```
data_ZnTePb
_chemical_formula_sum 'Zn4 Te4 Pb4'
_cell_length_a 7.434
_cell_length_b 7.434
_cell_length_c 7.434
_cell_angle_alpha 90.00
_cell_angle_beta 90.00
_cell_angle_gamma 90.00
_space_group_name_H-M_alt 'F -4 3 m'
_space_group_IT_number 216
_space_group_name_Hall 'F -4 2 3'
loop_
_atom_site_label
_atom_site_type_symbol
_atom_site_fract_x
_atom_site_fract_y
_atom_site_fract_z
Zn1 Zn 0.000 0.000 0.000
Te1 Te 0.000 0.000 0.500
Pb1 Pb 0.250 0.250 0.750
```

## Properties
Crystal system = cubic
VASP energy = -2.629 eV/atom